[1]
{"formula": "CrCuRh2", "functional": "PBE-GGA", "state": "optimized geometry", "cell": [[2.697, 0.000, 0.000], [0.000, 3.769, 0.000], [0.000, 0.000, 5.204]], "species": ["Cr", "Cu", "Rh", "Rh"], "fractional_positions": [[0.000, 0.000, 0.000], [0.500, 0.500, 0.249], [0.000, 0.000, 0.476], [0.500, 0.500, 0.764]]}


[2]
{"formula": "CrCuRh6", "functional": "PBE-GGA", "state": "optimized geometry", "cell": [[3.797, 0.000, 0.000], [0.000, 3.797, 0.000], [0.000, 0.000, 7.633]], "species": ["Cr", "Cu", "Rh", "Rh", "Rh", "Rh", "Rh", "Rh"], "fractional_positions": [[0.000, 0.000, 0.000], [0.000, 0.000, 0.500], [0.000, 0.500, 0.244], [0.000, 0.500, 0.756], [0.500, 0.000, 0.244], [0.500, 0.000, 0.756], [0.500, 0.500, 0.000], [0.500, 0.500, 0.500]]}


[3]
{"formula": "CrCuRh2", "functional": "PBE-GGA", "state": "optimized geometry", "cell": [[1.376, -2.211, 0.000], [1.376, 2.211, 0.000], [0.000, 0.000, 8.844]], "species": ["Cr", "Cu", "Rh", "Rh"], "fractional_positions": [[0.000, 0.000, 0.000], [0.500, 0.500, 0.758], [0.000, 0.000, 0.507], [0.500, 0.500, 0.236]]}


[4]
{"formula": "CrCuRh2", "functional": "PBE-GGA", "state": "optimized geometry", "cell": [[-3.322, 3.322, 2.655], [3.322, -3.322, 2.655], [3.322, 3.322, -2.655]], "species": ["Cr", "Cr", "Cu", "Cu", "Rh", "Rh", "Rh", "Rh"], "fractional_positions": [[0.000, 0.000, 0.000], [0.750, 0.250, 0.500], [0.250, 0.750, 0.500], [0.500, 0.500, 0.000], [0.092, 0.125, 0.467], [0.375, 0.908, 0.033], [0.658, 0.625, 0.533], [0.875, 0.342, 0.967]]}


[5]
{"formula": "Cr2CuRh", "functional": "PBE-GGA", "state": "optimized geometry", "cell": [[2.600, 0.000, 0.000], [0.000, 2.600, 0.000], [0.000, 0.000, 7.404]], "species": ["Cr", "Cr", "Cu", "Rh"], "fractional_positions": [[0.000, 0.000, 0.247], [0.000, 0.000, 0.753], [0.500, 0.500, 0.000], [0.500, 0.500, 0.500]]}


[6]
{"formula": "CrCu2Rh2", "functional": "PBE-GGA", "state": "optimized geometry", "cell": [[-1.608, 1.608, 6.864], [1.608, -1.608, 6.864], [1.608, 1.608, -6.864]], "species": ["Cr", "Cu", "Cu", "Rh", "Rh"], "fractional_positions": [[0.000, 0.000, 0.000], [0.250, 0.750, 0.500], [0.750, 0.250, 0.500], [0.402, 0.402, 0.000], [0.598, 0.598, 0.000]], "relative_energy_kcal_per_mol_atoms": 0.000}


[7]
{"formula": "Cr2CuRh", "functional": "PBE-GGA", "state": "optimized geometry", "cell": [[3.703, 0.000, 0.000], [0.000, 3.703, 0.000], [0.000, 0.000, 3.792]], "species": ["Cr", "Cr", "Cu", "Rh"], "fractional_positions": [[0.000, 0.500, 0.000], [0.500, 0.000, 0.000], [0.000, 0.000, 0.500], [0.500, 0.500, 0.500]]}


[8]
{"formula": "CrCuRh2", "functional": "PBE-GGA", "state": "optimized geometry", "cell": [[2.680, 0.000, 0.000], [0.000, 2.680, 0.000], [0.000, 0.000, 7.341]], "species": ["Cr", "Cu", "Rh", "Rh"], "fractional_positions": [[0.000, 0.000, 0.000], [0.500, 0.500, 0.242], [0.000, 0.000, 0.491], [0.500, 0.500, 0.768]]}


[9]
{"formula": "Cr2CuRh", "functional": "PBE-GGA", "state": "optimized geometry", "cell": [[-3.342, 3.342, 2.458], [3.342, -3.342, 2.458], [3.342, 3.342, -2.458]], "species": ["Cr", "Cr", "Cr", "Cr", "Cu", "Cu", "Rh", "Rh"], "fractional_positions": [[0.108, 0.125, 0.483], [0.375, 0.892, 0.017], [0.642, 0.625, 0.517], [0.875, 0.358, 0.983], [0.250, 0.750, 0.500], [0.500, 0.500, 0.000], [0.000, 0.000, 0.000], [0.750, 0.250, 0.500]]}


[10]
{"formula": "CrCuRh2", "functional": "PBE-GGA", "state": "optimized geometry", "cell": [[1.388, -2.225, 0.000], [1.388, 2.225, 0.000], [0.000, 0.000, 8.686]], "species": ["Cr", "Cu", "Rh", "Rh"], "fractional_positions": [[0.000, 0.000, 0.000], [0.000, 0.000, 0.500], [0.500, 0.500, 0.242], [0.500, 0.500, 0.758]]}


[11]
{"formula": "CrCuRh2", "functional": "PBE-GGA", "state": "optimized geometry", "cell": [[1.347, 0.777, 8.448], [-1.347, 0.777, 8.448], [0.000, -1.555, 8.448]], "species": ["Cr", "Cu", "Rh", "Rh"], "fractional_positions": [[0.000, 0.000, 0.000], [0.500, 0.500, 0.500], [0.254, 0.254, 0.254], [0.746, 0.746, 0.746]]}


[12]
{"formula": "Cr2CuRh8", "functional": "PBE-GGA", "state": "optimized geometry", "cell": [[-1.979, 3.470, 5.632], [1.979, -3.470, 5.632], [1.979, 3.470, -5.632]], "species": ["Cr", "Cr", "Cu", "Rh", "Rh", "Rh", "Rh", "Rh", "Rh", "Rh", "Rh"], "fractional_positions": [[0.202, 0.202, 0.000], [0.798, 0.798, 0.000], [0.500, 0.500, 0.000], [0.057, 0.342, 0.716], [0.186, 0.000, 0.186], [0.351, 0.851, 0.500], [0.374, 0.658, 0.716], [0.626, 0.342, 0.284], [0.649, 0.149, 0.500], [0.814, 0.000, 0.814], [0.943, 0.658, 0.284]]}


[13]
{"formula": "Cr3CuRh", "functional": "PBE-GGA", "state": "optimized geometry", "cell": [[4.699, 0.000, 0.000], [0.000, 4.699, 0.000], [0.000, 0.000, 4.699]], "species": ["Cr", "Cr", "Cr", "Cu", "Rh"], "fractional_positions": [[0.000, 0.000, 0.500], [0.000, 0.500, 0.000], [0.500, 0.000, 0.000], [0.500, 0.500, 0.500], [0.000, 0.000, 0.000]], "relative_energy_kcal_per_mol_atoms": 0.000}


[14]
{"formula": "CrCuRh4", "functional": "PBE-GGA", "state": "optimized geometry", "cell": [[0.000, 3.593, 3.593], [3.593, 0.000, 3.593], [3.593, 3.593, 0.000]], "species": ["Cr", "Cu", "Rh", "Rh", "Rh", "Rh"], "fractional_positions": [[0.000, 0.000, 0.000], [0.250, 0.250, 0.250], [0.125, 0.625, 0.625], [0.625, 0.125, 0.625], [0.625, 0.625, 0.125], [0.625, 0.625, 0.625]], "relative_energy_kcal_per_mol_atoms": 8.406}


[15]
{"formula": "CrCuRh2", "functional": "PBE-GGA", "state": "optimized geometry", "cell": [[3.113, 0.000, 0.000], [0.000, 3.113, 0.000], [0.000, 0.000, 5.579]], "species": ["Cr", "Cu", "Rh", "Rh"], "fractional_positions": [[0.000, 0.000, 0.000], [0.500, 0.500, 0.231], [0.000, 0.000, 0.461], [0.500, 0.500, 0.766]]}


[16]
{"formula": "CrCuRh2", "functional": "PBE-GGA", "state": "optimized geometry", "cell": [[0.000, 3.032, 3.032], [3.032, 0.000, 3.032], [3.032, 3.032, 0.000]], "species": ["Cr", "Cu", "Rh", "Rh"], "fractional_positions": [[0.000, 0.000, 0.000], [0.250, 0.250, 0.250], [0.500, 0.500, 0.500], [0.750, 0.750, 0.750]]}


[17]
{"formula": "CrCuRh2", "functional": "PBE-GGA", "state": "optimized geometry", "cell": [[2.760, -3.485, 0.000], [2.760, 3.485, 0.000], [0.000, 0.000, 2.803]], "species": ["Cr", "Cu", "Rh", "Rh"], "fractional_positions": [[0.000, 0.000, 0.000], [0.500, 0.500, 0.000], [0.000, 0.500, 0.500], [0.500, 0.000, 0.500]]}


[18]
{"formula": "Cr2CuRh", "functional": "PBE-GGA", "state": "optimized geometry", "cell": [[4.475, -1.382, 0.000], [4.475, 1.382, 0.000], [-1.059, 0.000, 4.067]], "species": ["Cr", "Cr", "Cu", "Rh"], "fractional_positions": [[0.249, 0.249, 0.227], [0.751, 0.751, 0.773], [0.000, 0.000, 0.500], [0.500, 0.500, 0.000]]}


[19]
{"formula": "Cr2CuRh", "functional": "PBE-GGA", "state": "optimized geometry", "cell": [[1.308, 0.755, 8.530], [-1.308, 0.755, 8.530], [0.000, -1.510, 8.530]], "species": ["Cr", "Cr", "Cu", "Rh"], "fractional_positions": [[0.249, 0.249, 0.249], [0.751, 0.751, 0.751], [0.000, 0.000, 0.000], [0.500, 0.500, 0.500]]}


[20]
{"formula": "Cr2CuRh", "functional": "PBE-GGA", "state": "optimized geometry", "cell": [[-1.912, 1.912, 3.589], [1.912, -1.912, 3.589], [1.912, 1.912, -3.589]], "species": ["Cr", "Cr", "Cu", "Rh"], "fractional_positions": [[0.000, 0.000, 0.000], [0.750, 0.250, 0.500], [0.250, 0.750, 0.500], [0.500, 0.500, 0.000]]}


no.,DFT formation energy (kcal/mol of atoms)
1,0.96
2,-1.01
3,5.75
4,8.49
5,4.67
6,6.94
7,1.37
8,2.81
9,16.01
10,3.16
11,-0.30
12,1.26
13,31.83
14,8.75
15,3.42
16,4.98
17,1.17
18,4.66
19,5.61
20,3.00